# Na2CoHW PBE-GGA relaxed
data_Na2CoHW
_chemical_formula_sum 'Na2 Co1 H1 W1'
_cell_length_a 3.672
_cell_length_b 5.330
_cell_length_c 3.672
_cell_angle_alpha 90.00
_cell_angle_beta 90.00
_cell_angle_gamma 90.00
_symmetry_space_group_name_H-M 'P 1'
_symmetry_Int_Tables_number 1
loop_
_symmetry_equiv_pos_as_xyz
'x,y,z'
loop_
_atom_site_label
_atom_site_fract_x
_atom_site_fract_y
_atom_site_fract_z
W1 0.500 0.500 0.500
H1 0.000 0.000 0.000
Na1 0.500 0.000 0.000
Na2 0.000 0.000 0.500
Co1 0.000 0.500 0.000
# Electronic total energy in eV per formula unit: -20.40
# SG: No. 123

=====

# Zn2Bi3O8 PBE-GGA relaxed
data_Zn2Bi3O8
_chemical_formula_sum 'Zn2 Bi3 O8'
_cell_length_a 6.234
_cell_length_b 6.234
_cell_length_c 5.833
_cell_angle_alpha 70.90
_cell_angle_beta 70.90
_cell_angle_gamma 68.31
_symmetry_space_group_name_H-M 'P 1'
_symmetry_Int_Tables_number 1
loop_
_symmetry_equiv_pos_as_xyz
'x,y,z'
loop_
_atom_site_label
_atom_site_fract_x
_atom_site_fract_y
_atom_site_fract_z
Zn1 0.665 0.665 0.865
Zn2 0.335 0.335 0.135
O1 0.144 0.626 0.259
O2 0.120 0.120 0.280
O3 0.626 0.144 0.259
O4 0.624 0.624 0.246
O5 0.374 0.856 0.741
O6 0.376 0.376 0.754
O7 0.856 0.374 0.741
O8 0.880 0.880 0.720
Bi1 0.000 0.000 0.000
Bi2 0.732 0.268 0.500
Bi3 0.268 0.732 0.500
# Electronic total energy in eV per formula unit: -66.95
# SG: No. 12
# Formation energy without anion corrections in meV per atom: -1007
# Energy relative to the lowest polymorph listed for this composition in meV per atom: 0

=====

# NbTcRh2 PBE-GGA relaxed
data_NbTcRh2
_chemical_formula_sum 'Nb1 Tc1 Rh2'
_cell_length_a 4.460
_cell_length_b 4.460
_cell_length_c 4.460
_cell_angle_alpha 60.00
_cell_angle_beta 60.00
_cell_angle_gamma 60.00
_symmetry_space_group_name_H-M 'P 1'
_symmetry_Int_Tables_number 1
loop_
_symmetry_equiv_pos_as_xyz
'x,y,z'
loop_
_atom_site_label
_atom_site_fract_x
_atom_site_fract_y
_atom_site_fract_z
Rh1 0.250 0.250 0.250
Rh2 0.750 0.750 0.750
Nb1 0.000 0.000 0.000
Tc1 0.500 0.500 0.500
# Calculated formation energy in kJ per mole of atoms: 10.3
# Electronic total energy in eV per formula unit: -34.71
# SG: No. 225
# Energy relative to the lowest polymorph listed for this composition in meV per atom: 445

=====

# Li2ReAs2 PBE-GGA relaxed
data_Li2ReAs2
_chemical_formula_sum 'Li4 Re2 As4'
_cell_length_a 6.429
_cell_length_b 6.429
_cell_length_c 3.780
_cell_angle_alpha 90.00
_cell_angle_beta 90.00
_cell_angle_gamma 90.00
_symmetry_space_group_name_H-M 'P 1'
_symmetry_Int_Tables_number 1
loop_
_symmetry_equiv_pos_as_xyz
'x,y,z'
loop_
_atom_site_label
_atom_site_fract_x
_atom_site_fract_y
_atom_site_fract_z
As1 0.357 0.857 0.000
As2 0.857 0.643 0.000
As3 0.143 0.357 0.000
As4 0.643 0.143 0.000
Re1 0.500 0.500 0.000
Re2 0.000 0.000 0.000
Li1 0.333 0.167 0.500
Li2 0.667 0.833 0.500
Li3 0.167 0.667 0.500
Li4 0.833 0.333 0.500
# Calculated formation energy in kJ per mole of atoms: -23.4
# Electronic total energy in eV per formula unit: -26.79
# SG: No. 127

=====

# Ac2Al4IrAu3 PBE-GGA relaxed
data_Ac2Al4IrAu3
_chemical_formula_sum 'Ac2 Al4 Ir1 Au3'
_cell_length_a 4.498
_cell_length_b 4.498
_cell_length_c 10.638
_cell_angle_alpha 90.00
_cell_angle_beta 90.00
_cell_angle_gamma 90.00
_symmetry_space_group_name_H-M 'P 1'
_symmetry_Int_Tables_number 1
loop_
_symmetry_equiv_pos_as_xyz
'x,y,z'
loop_
_atom_site_label
_atom_site_fract_x
_atom_site_fract_y
_atom_site_fract_z
Al1 0.500 0.500 0.000
Al2 0.000 0.500 0.382
Al3 0.000 0.000 0.000
Al4 0.500 0.000 0.618
Au1 0.000 0.500 0.133
Au2 0.000 0.000 0.500
Au3 0.500 0.000 0.867
Ac1 0.000 0.500 0.745
Ac2 0.500 0.000 0.255
Ir1 0.500 0.500 0.500
# Calculated formation energy in kJ per mole of atoms: -70.3
# Electronic total energy in eV per formula unit: -49.17
# SG: No. 115

=====

# CsLaCu2Cl6 PBE-GGA relaxed
data_CsLaCu2Cl6
_chemical_formula_sum 'Cs2 La2 Cu4 Cl12'
_cell_length_a 8.655
_cell_length_b 8.655
_cell_length_c 8.989
_cell_angle_alpha 100.67
_cell_angle_beta 100.67
_cell_angle_gamma 106.73
_symmetry_space_group_name_H-M 'P 1'
_symmetry_Int_Tables_number 1
loop_
_symmetry_equiv_pos_as_xyz
'x,y,z'
loop_
_atom_site_label
_atom_site_fract_x
_atom_site_fract_y
_atom_site_fract_z
La1 0.561 0.439 0.250
La2 0.439 0.561 0.750
Cl1 0.781 0.788 0.409
Cl2 0.352 0.577 0.425
Cl3 0.423 0.648 0.075
Cl4 0.788 0.781 0.909
Cl5 0.219 0.212 0.591
Cl6 0.577 0.352 0.925
Cl7 0.901 0.458 0.266
Cl8 0.458 0.901 0.766
Cl9 0.648 0.423 0.575
Cl10 0.212 0.219 0.091
Cl11 0.099 0.542 0.734
Cl12 0.542 0.099 0.234
Cs1 0.859 0.141 0.750
Cs2 0.141 0.859 0.250
Cu1 0.107 0.373 0.231
Cu2 0.893 0.627 0.769
Cu3 0.373 0.107 0.731
Cu4 0.627 0.893 0.269
# Electronic total energy in eV per formula unit: -40.26
# SG: No. 15
# Formation energy without anion corrections in meV per atom: -1520

=====

# Ag3TePd4 PBE-GGA relaxed
data_Ag3TePd4
_chemical_formula_sum 'Ag3 Te1 Pd4'
_cell_length_a 4.771
_cell_length_b 4.771
_cell_length_c 6.939
_cell_angle_alpha 110.12
_cell_angle_beta 110.11
_cell_angle_gamma 89.99
_symmetry_space_group_name_H-M 'P 1'
_symmetry_Int_Tables_number 1
loop_
_symmetry_equiv_pos_as_xyz
'x,y,z'
loop_
_atom_site_label
_atom_site_fract_x
_atom_site_fract_y
_atom_site_fract_z
Ag1 0.246 0.746 0.492
Ag2 0.754 0.254 0.508
Ag3 0.000 0.500 0.000
Pd1 0.622 0.621 0.244
Pd2 0.122 0.122 0.244
Pd3 0.378 0.379 0.756
Pd4 0.878 0.878 0.756
Te1 0.500 0.000 0.000
# Electronic total energy in eV per formula unit: -33.41
# SG: No. 139
# Formation energy without anion corrections in meV per atom: -118
# Energy relative to the lowest polymorph listed for this composition in meV per atom: 0

=====

# LiMg2Cu PBE-GGA relaxed
data_LiMg2Cu
_chemical_formula_sum 'Li1 Mg2 Cu1'
_cell_length_a 9.660
_cell_length_b 9.660
_cell_length_c 9.660
_cell_angle_alpha 17.72
_cell_angle_beta 17.72
_cell_angle_gamma 17.72
_symmetry_space_group_name_H-M 'P 1'
_symmetry_Int_Tables_number 1
loop_
_symmetry_equiv_pos_as_xyz
'x,y,z'
loop_
_atom_site_label
_atom_site_fract_x
_atom_site_fract_y
_atom_site_fract_z
Mg1 0.993 0.993 0.993
Mg2 0.507 0.507 0.507
Li1 0.750 0.750 0.750
Cu1 0.250 0.250 0.250
# Calculated formation energy in kJ per mole of atoms: 1.9
# Electronic total energy in eV per formula unit: -9.12
# SG: No. 166

=====

# PuReSi PBE-GGA relaxed
data_PuReSi
_chemical_formula_sum 'Pu2 Re2 Si2'
_cell_length_a 5.247
_cell_length_b 5.257
_cell_length_c 5.257
_cell_angle_alpha 63.26
_cell_angle_beta 60.06
_cell_angle_gamma 60.06
_symmetry_space_group_name_H-M 'P 1'
_symmetry_Int_Tables_number 1
loop_
_symmetry_equiv_pos_as_xyz
'x,y,z'
loop_
_atom_site_label
_atom_site_fract_x
_atom_site_fract_y
_atom_site_fract_z
Pu1 0.123 0.627 0.627
Pu2 0.877 0.373 0.373
Re1 0.000 0.000 0.000
Re2 0.500 0.000 0.000
Si1 0.500 0.000 0.500
Si2 0.500 0.500 0.000
# Electronic total energy in eV per formula unit: -33.08
# SG: No. 74
# Formation energy without anion corrections in meV per atom: -292

=====

# MoH2Br4 PBE-GGA relaxed
data_MoH2Br4
_chemical_formula_sum 'Mo1 H2 Br4'
_cell_length_a 4.267
_cell_length_b 7.271
_cell_length_c 9.441
_cell_angle_alpha 138.35
_cell_angle_beta 90.00
_cell_angle_gamma 90.00
_symmetry_space_group_name_H-M 'P 1'
_symmetry_Int_Tables_number 1
loop_
_symmetry_equiv_pos_as_xyz
'x,y,z'
loop_
_atom_site_label
_atom_site_fract_x
_atom_site_fract_y
_atom_site_fract_z
Br1 0.000 0.459 0.306
Br2 0.000 0.398 0.694
Br3 0.500 0.876 0.182
Br4 0.500 0.981 0.818
H1 0.500 0.143 0.410
H2 0.500 0.714 0.590
Mo1 0.000 0.929 0.000
# Electronic total energy in eV per formula unit: -24.01
# SG: No. 10

=====

# YTi2Ir2 PBE-GGA relaxed
data_YTi2Ir2
_chemical_formula_sum 'Y2 Ti4 Ir4'
_cell_length_a 7.757
_cell_length_b 7.757
_cell_length_c 2.899
_cell_angle_alpha 90.00
_cell_angle_beta 90.00
_cell_angle_gamma 90.00
_symmetry_space_group_name_H-M 'P 1'
_symmetry_Int_Tables_number 1
loop_
_symmetry_equiv_pos_as_xyz
'x,y,z'
loop_
_atom_site_label
_atom_site_fract_x
_atom_site_fract_y
_atom_site_fract_z
Ir1 0.348 0.152 0.500
Ir2 0.652 0.848 0.500
Ir3 0.152 0.652 0.500
Ir4 0.848 0.348 0.500
Y1 0.000 0.000 0.000
Y2 0.500 0.500 0.000
Ti1 0.141 0.359 0.000
Ti2 0.641 0.141 0.000
Ti3 0.359 0.859 0.000
Ti4 0.859 0.641 0.000
# Calculated formation energy in kJ per mole of atoms: -61.8
# Electronic total energy in eV per formula unit: -43.18
# SG: No. 127
# Energy relative to the lowest polymorph listed for this composition in meV per atom: 179

=====

# Ce2Mg2MnGe4 PBE-GGA relaxed
data_Ce2Mg2MnGe4
_chemical_formula_sum 'Ce2 Mg2 Mn1 Ge4'
_cell_length_a 6.312
_cell_length_b 6.312
_cell_length_c 6.312
_cell_angle_alpha 93.61
_cell_angle_beta 117.94
_cell_angle_gamma 117.94
_symmetry_space_group_name_H-M 'P 1'
_symmetry_Int_Tables_number 1
loop_
_symmetry_equiv_pos_as_xyz
'x,y,z'
loop_
_atom_site_label
_atom_site_fract_x
_atom_site_fract_y
_atom_site_fract_z
Ce1 0.500 0.250 0.750
Ce2 0.500 0.750 0.250
Ge1 0.000 0.739 0.261
Ge2 0.000 0.261 0.739
Ge3 0.478 0.739 0.739
Ge4 0.522 0.261 0.261
Mg1 0.000 0.698 0.698
Mg2 0.000 0.302 0.302
Mn1 0.000 0.000 0.000
# Calculated formation energy in kJ per mole of atoms: -38.0
# Electronic total energy in eV per formula unit: -46.24
# SG: No. 139